Record 1
Below is a relaxed SrBe2As crystal, with properties calculated at the PBE level.

Results
energy relative to the elements: 278 meV/atom
magnetization: 0.00 μB/cell

Lattice parameters (Å, degrees): 5.1642 5.1642 5.1642 137.83 106.44 88.61
Last column: nearest neighbours and their distance in Å.
Fractional coordinates of all 4 atoms:
Be (0.5843, 0.5843, 0.0000)  2 As 2.23, 1 Be 2.45
Be (0.9157, 0.9157, 0.0000)  2 As 2.23, 1 Be 2.45
As (0.7500, 0.2500, 0.5000)  4 Be 2.23
Sr (0.2500, 0.7500, 0.5000)  8 Be 3.09-3.33


Record 2
Below is a relaxed Cr3PdRh crystal, with properties calculated at the PBE level.

Results
energy relative to the elements: 1544 meV/atom
magnetization: 0.00 μB/cell
energy relative to the lowest polymorph listed for this composition: 0.00 eV per formula unit

Lattice parameters (Å, degrees): 4.4241 4.4241 4.4241 90.00 90.00 90.00
Last column: nearest neighbours and their distance in Å.
Fractional coordinates of all 5 atoms:
Rh (0.0000, 0.0000, 0.0000)  6 Cr 2.21
Cr (0.5000, 0.0000, 0.0000)  2 Rh 2.21
Cr (0.0000, 0.5000, 0.0000)  2 Rh 2.21
Cr (0.0000, 0.0000, 0.5000)  2 Rh 2.21
Pd (0.5000, 0.5000, 0.5000)  12 Cr 3.13


Record 3
Below is a relaxed Rb2AgPb4Au3 crystal, with properties calculated at the PBE level.

Results
energy relative to the elements: -139 meV/atom
magnetization: 0.00 μB/cell

Lattice parameters (Å, degrees): 5.2600 5.2600 11.1269 90.00 90.00 90.00
Last column: nearest neighbours and their distance in Å.
Fractional coordinates of all 10 atoms:
Ag (0.5000, 0.5000, 0.5000)  4 Pb 2.91
Au (0.0000, 0.5000, 0.1252)  5 Pb 2.91-2.98
Au (0.5000, 0.0000, 0.8748)  5 Pb 2.91-2.98
Au (0.0000, 0.0000, 0.5000)  4 Pb 2.91
Rb (0.5000, 0.0000, 0.2578)  6 Au 3.77-4.00, 2 Ag 3.77, 9 Pb 3.89-3.99
Rb (0.0000, 0.5000, 0.7422)  2 Ag 3.77, 6 Au 3.77-4.00, 9 Pb 3.89-3.99
Pb (0.5000, 0.5000, 0.0000)  4 Au 2.98
Pb (0.5000, 0.0000, 0.6129)  3 Au 2.91, 2 Ag 2.91
Pb (0.0000, 0.5000, 0.3871)  3 Au 2.91, 2 Ag 2.91
Pb (0.0000, 0.0000, 0.0000)  4 Au 2.98


no.,calculated volume (Å³/f.u.)
1,84.9
2,86.6
3,307.9